[1]
An optimized crystal structure of Mo5Ru3. Source: Alexandria, functional PBE.

```
Mo5Ru3
1.0
-0.541 4.709 1.422
-0.794 0.968 7.389
7.634 -2.410 -0.165
Ru Mo
6 10
direct
0.232 0.147 0.505 Ru
0.198 0.060 0.984 Ru
0.234 0.524 0.138 Ru
0.766 0.476 0.863 Ru
0.803 0.940 0.017 Ru
0.769 0.853 0.495 Ru
0.129 0.682 0.826 Mo
0.164 0.846 0.336 Mo
0.256 0.497 0.501 Mo
0.379 0.289 0.849 Mo
0.442 0.834 0.717 Mo
0.558 0.166 0.283 Mo
0.622 0.711 0.151 Mo
0.745 0.503 0.500 Mo
0.837 0.154 0.665 Mo
0.872 0.318 0.175 Mo
```

Results
- Offset from the most stable computed form: 0.024 eV/atom
- Total energy: -161.6 eV for the cell shown

[2]
An optimized crystal structure of Mo4Ru. Source: Alexandria, functional PBE.

```
Mo4Ru
1.0
4.626 0.000 0.000
0.000 4.626 0.000
0.000 0.000 4.626
Ru Mo
1 4
direct
0.500 0.500 0.500 Ru
0.000 0.000 0.000 Mo
0.500 0.000 0.500 Mo
0.000 0.500 0.500 Mo
0.500 0.500 0.000 Mo
```

Results
- Offset from the most stable computed form: 1.705 eV/atom
- Total energy: -43.8 eV for the cell shown

| no. | density of states at the Fermi level (states/eV/atom) | E_form (kcal/mol of atoms) |
| --- | --- | --- |
| 1 | 0.855 | 3.442 |
| 2 | 1.174 | 40.773 |